(1)
Density functional theory data (GGA-PBE) for a geometry-optimized CsGaSe structure.

Output
The value obtained for the uncorrected formation energy is -0.7351 eV/atom. The value obtained for the energy relative to the lowest polymorph listed for this composition is 0 meV per atom. The calculation puts the total energy at -3.19 eV per atom. The spin magnetization is 0.0 μB/f.u.

Cell: 4.1547 5.2266 9.6734 Å, 90.00 102.40 90.00°
Sites, in units of the cell vectors:
Ga  0.4745  0.7500  0.9490
Ga  0.5255  0.2500  0.0510
Cs  0.6740  0.7500  0.3480
Cs  0.3260  0.2500  0.6520
Se  0.8872  0.7500  0.7744
Se  0.1128  0.2500  0.2256


(2)
Density functional theory data (GGA-PBE) for a geometry-optimized Cs2GaSe2 structure.

Output
The value obtained for the uncorrected formation energy is -0.5383 eV/atom. The value obtained for the energy relative to the lowest polymorph listed for this composition is 431 meV per atom. The calculation puts the total energy at -2.88 eV per atom. The spin magnetization is 0.0 μB/f.u.

Cell: 8.1478 8.1478 5.5712 Å, 90.00 90.00 90.00°
Sites, in units of the cell vectors:
Se  0.3212  0.8212  0.0000
Se  0.8212  0.6788  0.0000
Se  0.6788  0.1788  0.0000
Se  0.1788  0.3212  0.0000
Cs  0.1504  0.6504  0.5000
Cs  0.8496  0.3496  0.5000
Cs  0.6504  0.8496  0.5000
Cs  0.3496  0.1504  0.5000
Ga  0.5000  0.5000  0.0000
Ga  0.0000  0.0000  0.0000


(3)
Density functional theory data (GGA-PBE) for a geometry-optimized Cs5Ga3Se7 structure.

Output
The value obtained for the uncorrected formation energy is -1.0531 eV/atom. The calculation puts the total energy at -3.57 eV per atom. The spin magnetization is 0.0 μB/f.u.

Cell: 11.4193 11.4193 9.8396 Å, 75.33 75.33 71.24°
Sites, in units of the cell vectors:
Ga  0.2134  0.2134  0.1814
Ga  0.0715  0.0715  0.0570
Ga  0.9285  0.9285  0.9430
Ga  0.7866  0.7866  0.8186
Ga  0.6541  0.6541  0.6640
Ga  0.3459  0.3459  0.3360
Se  0.7162  0.9961  0.8876
Se  0.0039  0.2838  0.1124
Se  0.6493  0.6493  0.9241
Se  0.7964  0.7964  0.5672
Se  0.9355  0.9355  0.1879
Se  0.2516  0.5510  0.3967
Se  0.5510  0.2516  0.3967
Se  0.4490  0.7484  0.6033
Se  0.2036  0.2036  0.4328
Se  0.3507  0.3507  0.0759
Se  0.7484  0.4490  0.6033
Se  0.2838  0.0039  0.1124
Se  0.0645  0.0645  0.8121
Se  0.9961  0.7162  0.8876
Cs  0.0218  0.4403  0.7193
Cs  0.2871  0.7129  0.0000
Cs  0.8450  0.1550  0.5000
Cs  0.4403  0.0218  0.7193
Cs  0.1550  0.8450  0.5000
Cs  0.5597  0.9782  0.2807
Cs  0.5739  0.5739  0.3063
Cs  0.4261  0.4261  0.6937
Cs  0.7129  0.2871  0.0000
Cs  0.9782  0.5597  0.2807


(4)
Density functional theory data (GGA-PBE) for a geometry-optimized CsGa2Se2 structure.

Output
The value obtained for the uncorrected formation energy is -0.5376 eV/atom. The value obtained for the energy relative to the lowest polymorph listed for this composition is 20 meV per atom. The calculation puts the total energy at -3.31 eV per atom. The spin magnetization is 0.0 μB/f.u.

Cell: 5.2281 5.2281 6.2622 Å, 65.33 65.33 90.00°
Sites, in units of the cell vectors:
Se  0.2500  0.7500  0.5000
Se  0.7500  0.2500  0.5000
Cs  0.0000  0.0000  0.0000
Ga  0.6469  0.6469  0.7061
Ga  0.3531  0.3531  0.2939


(5)
Density functional theory data (GGA-PBE) for a geometry-optimized CsGa2Se structure.

Output
The value obtained for the uncorrected formation energy is -0.2121 eV/atom. The calculation puts the total energy at -2.81 eV per atom. The spin magnetization is 0.0 μB/f.u.

Cell: 8.7205 8.7205 7.0919 Å, 52.06 52.06 90.00°
Sites, in units of the cell vectors:
Ga  0.5555  0.1250  0.2500
Ga  0.8750  0.8055  0.7500
Ga  0.3750  0.4445  0.7500
Ga  0.1945  0.6250  0.2500
Cs  0.0000  0.0000  0.0000
Cs  0.7500  0.2500  0.5000
Se  0.5000  0.5000  0.0000
Se  0.2500  0.7500  0.5000


(6)
Density functional theory data (GGA-PBE) for a geometry-optimized Cs2SmGaSe4 structure.

Output
The value obtained for the uncorrected formation energy is -1.2379 eV/atom. The calculation puts the total energy at -4.16 eV per atom. The spin magnetization is 0.0 μB/f.u.

Cell: 6.4798 8.2740 13.8217 Å, 84.73 76.44 66.95°
Sites, in units of the cell vectors:
Se  0.5647  0.1950  0.1051
Se  0.4198  0.6950  0.3949
Se  0.5098  0.3050  0.6051
Se  0.8648  0.8050  0.8949
Se  0.2402  0.1950  0.8949
Se  0.3302  0.8050  0.1051
Se  0.8852  0.6950  0.6051
Se  0.1853  0.3050  0.3949
Sm  0.7500  0.5000  0.5000
Sm  0.0000  0.0000  0.0000
Cs  0.8196  0.0000  0.3607
Cs  0.5696  0.5000  0.8607
Cs  0.9304  0.5000  0.1393
Cs  0.1804  0.0000  0.6393
Ga  0.5000  0.0000  0.0000
Ga  0.2500  0.5000  0.5000